## a
VASP calculation (GGA-PBE) on a geometry-optimized BeTcRh structure.

Cell and atoms, written as extended XYZ:
```
6
Lattice="-1.9136 -2.4589 2.5314 3.2185 1.1974 3.5961 -3.2056 2.3643 -0.1267" Properties=species:S:1:pos:R:3 pbc="T T T"
Be -3.4088 0.6200 3.1857
Be -0.8489 0.6672 1.9834
Rh -2.9427 1.1303 0.8506
Rh 1.2427 0.2063 3.1172
Tc -2.3225 -1.3201 2.1227
Tc -1.2912 0.1977 4.3766
```



## b
VASP calculation (GGA-PBE) on a geometry-optimized BeTcRh structure.

Cell and atoms, written as extended XYZ:
```
6
Lattice="-1.4899 -3.3413 1.7793 -1.7864 -3.3413 -3.1199 4.0256 -0.7646 -2.7169" Properties=species:S:1:pos:R:3 pbc="T T T"
Be 0.2743 -3.4456 -0.8841
Be -2.2197 -5.4806 -2.1425
Rh 1.4004 -2.4635 -2.7482
Rh 2.1701 -3.8856 -4.7748
Tc -1.8787 -4.2789 0.4018
Tc -0.0663 -4.6468 -3.4286
```



Result of the stability comparison: a is the most stable of them.